The following is a DFT calculation (PBE) of a relaxed structure of Hf2Sc4Au3N3.

## Properties
Its raw total energy is -188.2 eV per cell. As for the density: 10.19 g/cm³.

Cell: 5.604 5.604 14.387 Å, 101.26 101.26 60.05°
Element x y z (fractional)
Hf 0.029 0.858 0.588
Hf 0.142 0.971 0.912
Hf 0.858 0.029 0.088
Hf 0.971 0.142 0.412
Sc 0.196 0.368 0.090
Sc 0.307 0.466 0.410
Sc 0.368 0.196 0.590
Sc 0.466 0.307 0.910
Sc 0.534 0.693 0.090
Sc 0.632 0.804 0.410
Sc 0.693 0.534 0.590
Sc 0.804 0.632 0.910
Au 0.083 0.244 0.749
Au 0.244 0.083 0.249
Au 0.411 0.589 0.750
Au 0.589 0.411 0.250
Au 0.756 0.917 0.751
Au 0.917 0.756 0.251
N 0.000 0.500 0.500
N 0.161 0.678 0.000
N 0.322 0.839 0.500
N 0.500 0.000 0.000
N 0.678 0.161 0.500
N 0.839 0.322 0.000